# 1
Pm3YHo6 | PBE | optimized geometry

Fermi-level density of states	12.75	states/eV/f.u.
space-group type	P-1
electronic total energy	-0.3529	Ry per atom
E above lowest polymorph	0	meV per atom

a = 6.177 Å, b = 6.182 Å, c = 9.431 Å
α = 102.59°, β = 109.09°, γ = 99.67°
Positions (direct):
Pm (0.000, 0.000, 0.000)
Pm (0.201, 0.100, 0.700)
Pm (0.799, 0.900, 0.300)
Y (0.000, 0.500, 0.500)
Ho (0.201, 0.599, 0.200)
Ho (0.400, 0.699, 0.901)
Ho (0.401, 0.200, 0.400)
Ho (0.599, 0.800, 0.600)
Ho (0.600, 0.301, 0.099)
Ho (0.799, 0.401, 0.800)

=====

# 2
Pm4Y5Ho3 | PBE | optimized geometry

Fermi-level density of states	15.88	states/eV/f.u.
space-group type	P-1
electronic total energy	-0.3972	Ry per atom
E above lowest polymorph	0	meV per atom

a = 6.213 Å, b = 7.172 Å, c = 8.775 Å
α = 89.90°, β = 89.96°, γ = 89.92°
Positions (direct):
Pm (0.166, 0.251, 0.168)
Pm (0.333, 0.000, 0.834)
Pm (0.667, 0.000, 0.166)
Pm (0.834, 0.749, 0.832)
Y (0.000, 0.000, 0.500)
Y (0.332, 0.500, 0.832)
Y (0.499, 0.748, 0.500)
Y (0.501, 0.252, 0.500)
Y (0.668, 0.500, 0.168)
Ho (0.000, 0.500, 0.500)
Ho (0.167, 0.749, 0.169)
Ho (0.833, 0.251, 0.831)

=====

# 3
Pm5Y6Ho2 | PBE | optimized geometry

Fermi-level density of states	16.32	states/eV/f.u.
space-group type	Pbam
electronic total energy	-0.3984	Ry per atom

a = 11.718 Å, b = 20.588 Å, c = 3.600 Å
α = 90.00°, β = 90.00°, γ = 90.00°
Positions (direct):
Pm (0.000, 0.000, 0.000)
Pm (0.085, 0.272, 0.000)
Pm (0.200, 0.550, 0.000)
Pm (0.300, 0.050, 0.000)
Pm (0.415, 0.772, 0.000)
Pm (0.500, 0.500, 0.000)
Pm (0.585, 0.228, 0.000)
Pm (0.700, 0.950, 0.000)
Pm (0.800, 0.450, 0.000)
Pm (0.915, 0.728, 0.000)
Y (0.059, 0.418, 0.500)
Y (0.082, 0.131, 0.500)
Y (0.175, 0.862, 0.000)
Y (0.325, 0.362, 0.000)
Y (0.418, 0.631, 0.500)
Y (0.441, 0.918, 0.500)
Y (0.559, 0.082, 0.500)
Y (0.582, 0.369, 0.500)
Y (0.675, 0.638, 0.000)
Y (0.825, 0.138, 0.000)
Y (0.918, 0.869, 0.500)
Y (0.941, 0.582, 0.500)
Ho (0.170, 0.709, 0.500)
Ho (0.330, 0.209, 0.500)
Ho (0.670, 0.791, 0.500)
Ho (0.830, 0.291, 0.500)

=====

# 4
PmYHo2 | PBE | optimized geometry

Fermi-level density of states	5.79	states/eV/f.u.
space-group type	R3m
electronic total energy	-0.3731	Ry per atom
E above lowest polymorph	3	meV per atom

a = 11.726 Å, b = 11.726 Å, c = 11.726 Å
α = 17.62°, β = 17.62°, γ = 17.62°
Positions (direct):
Pm (0.000, 0.000, 0.000)
Y (0.834, 0.834, 0.834)
Ho (0.250, 0.250, 0.250)
Ho (0.418, 0.418, 0.418)

=====

# 5
PmY3Ho6 | PBE | optimized geometry

Fermi-level density of states	20.63	states/eV/f.u.
space-group type	R3
electronic total energy	-0.3578	Ry per atom
E above lowest polymorph	151	meV per atom

a = 6.875 Å, b = 6.875 Å, c = 6.875 Å
α = 91.20°, β = 91.20°, γ = 91.20°
Positions (direct):
Pm (0.000, 0.000, 0.000)
Y (0.246, 0.246, 0.246)
Y (0.498, 0.498, 0.498)
Y (0.742, 0.742, 0.742)
Ho (0.009, 0.335, 0.674)
Ho (0.174, 0.836, 0.510)
Ho (0.335, 0.674, 0.009)
Ho (0.510, 0.174, 0.836)
Ho (0.674, 0.009, 0.335)
Ho (0.836, 0.510, 0.174)

=====

# 6
Pm3Y8Ho3 | PBE | optimized geometry

Fermi-level density of states	23.63	states/eV/f.u.
space-group type	Immm
electronic total energy	-0.4089	Ry per atom
E above lowest polymorph	15	meV per atom

a = 9.710 Å, b = 9.710 Å, c = 9.710 Å
α = 146.07°, β = 112.73°, γ = 77.52°
Positions (direct):
Pm (0.000, 0.000, 0.000)
Pm (0.304, 0.000, 0.304)
Pm (0.696, 0.000, 0.696)
Y (0.056, 0.396, 0.660)
Y (0.063, 0.222, 0.841)
Y (0.263, 0.604, 0.660)
Y (0.381, 0.222, 0.159)
Y (0.619, 0.778, 0.841)
Y (0.737, 0.396, 0.340)
Y (0.937, 0.778, 0.159)
Y (0.944, 0.604, 0.340)
Ho (0.315, 0.815, 0.500)
Ho (0.500, 0.500, 0.000)
Ho (0.685, 0.185, 0.500)